Compound: MnGaNi3
Source: Alexandria
Functional: PBE-GGA
Structure: optimized geometry

The calculation puts the formation energy at -0.2319 eV/atom. As for the polymorph energy (0 for the lowest one): 0 meV per atom. The calculation puts the total magnetic moment at 3.83 μB per formula unit. The value obtained for the density of states at the Fermi level is 7.92 states/eV per cell. The electronic total energy comes out at -6.140 eV per atom.

Cell lengths 4.304, 4.306, 6.929 Å; angles 85.64, 71.84, 75.63 degrees
Fractional positions:
Mn 0.059 0.844 0.600
Ni 0.156 0.344 0.407
Mn 0.352 0.344 0.015
Ni 0.456 0.844 0.806
Ni 0.255 0.844 0.208
Ni 0.756 0.344 0.206
Ga 0.852 0.845 0.015
Ni 0.955 0.345 0.808
Ni 0.655 0.844 0.409
Ga 0.559 0.344 0.600

=====

Compound: MnGa6Ni
Source: Alexandria
Functional: PBE-GGA
Structure: optimized geometry

The calculation puts the formation energy at -0.0541 eV/atom. The calculation puts the total magnetic moment at 3.16 μB per formula unit. The value obtained for the density of states at the Fermi level is 3.08 states/eV per cell. The electronic total energy comes out at -4.193 eV per atom.

Cell lengths 5.309, 5.309, 5.308 Å; angles 102.87, 102.87, 102.85 degrees
Fractional positions:
Ga 0.209 0.209 0.653
Ga 0.653 0.208 0.209
Ni 0.500 0.500 0.500
Ga 0.347 0.792 0.791
Ga 0.792 0.347 0.791
Ga 0.208 0.653 0.209
Mn 0.000 0.000 0.000
Ga 0.791 0.791 0.347

=====

Compound: Mn2GaNi3
Source: Alexandria
Functional: PBE-GGA
Structure: optimized geometry

The calculation puts the formation energy at -0.1972 eV/atom. As for the polymorph energy (0 for the lowest one): 0 meV per atom. The calculation puts the total magnetic moment at 8.39 μB per formula unit. The value obtained for the density of states at the Fermi level is 8.02 states/eV per cell. The electronic total energy comes out at -6.649 eV per atom.

Cell lengths 4.107, 4.107, 10.089 Å; angles 90.00, 90.00, 120.00 degrees
Fractional positions:
Mn 0.333 0.667 0.168
Ni 0.667 0.333 0.082
Ni 0.333 0.667 0.418
Ni 0.000 0.000 0.250
Mn 0.667 0.333 0.832
Mn 0.000 0.000 0.500
Ga 0.667 0.333 0.334
Ni 0.667 0.333 0.582
Ni 0.000 0.000 0.750
Ni 0.333 0.667 0.918
Ga 0.333 0.667 0.666
Mn 0.000 0.000 0.000

=====

Compound: Mn9Ga11Ni4
Source: Alexandria
Functional: PBE-GGA
Structure: optimized geometry

The calculation puts the formation energy at -0.1391 eV/atom. The calculation puts the total magnetic moment at 24.52 μB per formula unit. The value obtained for the density of states at the Fermi level is 14.75 states/eV per cell. The electronic total energy comes out at -5.929 eV per atom.

Cell lengths 2.720, 11.018, 11.018 Å; angles 104.84, 90.00, 90.00 degrees
Fractional positions:
Ga 0.000 0.150 0.850
Mn 0.500 0.500 0.500
Mn 0.500 0.066 0.219
Ga 0.000 0.850 0.150
Ga 0.000 0.423 0.070
Ga 0.000 0.577 0.930
Mn 0.500 0.858 0.350
Ga 0.000 0.000 0.000
Ga 0.000 0.718 0.718
Mn 0.500 0.350 0.858
Ga 0.000 0.930 0.577
Ga 0.000 0.070 0.423
Ga 0.000 0.352 0.648
Ni 0.500 0.539 0.742
Mn 0.500 0.934 0.781
Mn 0.500 0.650 0.142
Ni 0.500 0.258 0.461
Mn 0.500 0.219 0.066
Ga 0.000 0.648 0.352
Mn 0.500 0.781 0.934
Ni 0.500 0.461 0.258
Ga 0.000 0.282 0.282
Ni 0.500 0.742 0.539
Mn 0.500 0.142 0.650

=====

Compound: Mn4GaNi15
Source: Alexandria
Functional: PBE-GGA
Structure: optimized geometry

The calculation puts the formation energy at -0.1418 eV/atom. The calculation puts the total magnetic moment at 19.69 μB per formula unit. The value obtained for the density of states at the Fermi level is 20.60 states/eV per cell. The electronic total energy comes out at -6.463 eV per atom.

Cell lengths 3.571, 3.571, 17.797 Å; angles 90.00, 90.00, 90.00 degrees
Fractional positions:
Ni 0.500 0.000 0.899
Mn 0.000 0.000 0.600
Mn 0.000 0.000 0.200
Ni 0.000 0.500 0.899
Ni 0.000 0.500 0.300
Ni 0.500 0.500 0.400
Ni 0.000 0.500 0.500
Ni 0.000 0.500 0.700
Ni 0.500 0.000 0.700
Ni 0.500 0.500 0.000
Mn 0.000 0.000 0.800
Ni 0.500 0.500 0.600
Ni 0.000 0.500 0.101
Ni 0.500 0.500 0.800
Ni 0.500 0.000 0.101
Mn 0.000 0.000 0.400
Ni 0.500 0.000 0.500
Ga 0.000 0.000 0.000
Ni 0.500 0.000 0.300
Ni 0.500 0.500 0.200

=====

Compound: Mn2Ga2Ni15
Source: Alexandria
Functional: PBE-GGA
Structure: optimized geometry

The calculation puts the formation energy at 0.0582 eV/atom. The calculation puts the total magnetic moment at 14.12 μB per formula unit. The value obtained for the density of states at the Fermi level is 20.58 states/eV per cell. The electronic total energy comes out at -5.790 eV per atom.

Cell lengths 6.215, 6.215, 6.215 Å; angles 80.88, 80.88, 80.88 degrees
Fractional positions:
Ni 0.000 0.682 0.318
Mn 0.104 0.104 0.104
Ni 0.000 0.000 0.500
Ni 0.682 0.318 0.000
Ni 0.318 0.682 0.000
Ni 0.500 0.000 0.000
Ni 0.656 0.656 0.165
Ni 0.682 0.000 0.318
Ni 0.318 0.000 0.682
Ni 0.165 0.656 0.656
Ni 0.344 0.344 0.835
Ga 0.639 0.639 0.639
Ni 0.835 0.344 0.344
Ga 0.361 0.361 0.361
Ni 0.000 0.500 0.000
Mn 0.896 0.896 0.896
Ni 0.344 0.835 0.344
Ni 0.656 0.165 0.656
Ni 0.000 0.318 0.682